VASP calculation (PBE) on a relaxed structure of PuZr3Zn.

Cell lengths 7.657, 7.657, 7.657 Å; angles 49.61, 49.61, 49.61 degrees
Atoms (fractional coordinates):
Pu (0.081, 0.081, 0.081)
Pu (0.919, 0.919, 0.919)
Zr (0.099, 0.613, 0.613)
Zr (0.387, 0.387, 0.901)
Zr (0.387, 0.901, 0.387)
Zr (0.613, 0.099, 0.613)
Zr (0.613, 0.613, 0.099)
Zr (0.901, 0.387, 0.387)
Zn (0.335, 0.335, 0.335)
Zn (0.665, 0.665, 0.665)

VASP calculation (PBE) on a relaxed structure of Sm2PdAu3.

Properties
E above lowest polymorph, meV/atom: 0

Cell lengths 7.421, 4.031, 17.942 Å; angles 90.00, 90.00, 90.00 degrees
Atoms (fractional coordinates):
Sm (0.080, 0.250, 0.204)
Sm (0.183, 0.250, 0.432)
Sm (0.317, 0.750, 0.932)
Sm (0.420, 0.750, 0.704)
Sm (0.580, 0.250, 0.296)
Sm (0.683, 0.250, 0.068)
Sm (0.817, 0.750, 0.568)
Sm (0.920, 0.750, 0.796)
Pd (0.001, 0.250, 0.935)
Pd (0.499, 0.750, 0.435)
Pd (0.501, 0.250, 0.565)
Pd (0.999, 0.750, 0.065)
Au (0.105, 0.250, 0.657)
Au (0.228, 0.250, 0.809)
Au (0.233, 0.750, 0.553)
Au (0.267, 0.250, 0.053)
Au (0.272, 0.750, 0.309)
Au (0.395, 0.750, 0.157)
Au (0.605, 0.250, 0.843)
Au (0.728, 0.250, 0.691)
Au (0.733, 0.750, 0.947)
Au (0.767, 0.250, 0.447)
Au (0.772, 0.750, 0.191)
Au (0.895, 0.750, 0.343)

VASP calculation (PBE) on a relaxed structure of TlNiPb2.

Properties
E above lowest polymorph, meV/atom: 292

Cell lengths 5.350, 5.350, 3.605 Å; angles 90.00, 90.00, 101.55 degrees
Atoms (fractional coordinates):
Tl (0.000, 0.000, 0.000)
Ni (0.500, 0.500, 0.000)
Pb (0.000, 0.500, 0.500)
Pb (0.500, 0.000, 0.500)

VASP calculation (PBE) on a relaxed structure of La2CoRh.

Properties
E above lowest polymorph, meV/atom: 248

Cell lengths 6.187, 6.187, 6.187 Å; angles 105.89, 105.89, 116.89 degrees
Atoms (fractional coordinates):
La (0.110, 0.125, 0.485)
La (0.375, 0.890, 0.015)
La (0.640, 0.625, 0.515)
La (0.875, 0.360, 0.985)
Co (0.000, 0.000, 0.000)
Co (0.750, 0.250, 0.500)
Rh (0.250, 0.750, 0.500)
Rh (0.500, 0.500, 0.000)

VASP calculation (PBE) on a relaxed structure of Y2Tl2Ru.

Properties
E above lowest polymorph, meV/atom: 0

Cell lengths 10.659, 10.659, 10.659 Å; angles 161.30, 161.30, 26.56 degrees
Atoms (fractional coordinates):
Y (0.080, 0.080, 0.000)
Y (0.920, 0.920, 0.000)
Tl (0.303, 0.303, 0.000)
Tl (0.697, 0.697, 0.000)
Ru (0.500, 0.500, 0.000)

VASP calculation (PBE) on a relaxed structure of Ce2Zn3CdAu4.

Cell lengths 4.265, 4.265, 11.731 Å; angles 90.00, 90.00, 90.00 degrees
Atoms (fractional coordinates):
Ce (0.000, 0.500, 0.239)
Ce (0.500, 0.000, 0.761)
Zn (0.000, 0.500, 0.871)
Zn (0.500, 0.000, 0.129)
Zn (0.500, 0.500, 0.500)
Cd (0.000, 0.000, 0.500)
Au (0.000, 0.000, 0.000)
Au (0.000, 0.500, 0.655)
Au (0.500, 0.000, 0.345)
Au (0.500, 0.500, 0.000)

VASP calculation (PBE) on a relaxed structure of Pr5Ho2ErTm.

Cell lengths 10.680, 10.680, 10.718 Å; angles 90.00, 90.00, 149.40 degrees
Atoms (fractional coordinates):
Pr (0.013, 0.987, 0.500)
Pr (0.120, 0.880, 0.773)
Pr (0.204, 0.796, 0.462)
Pr (0.222, 0.778, 0.069)
Pr (0.485, 0.515, 0.768)
Pr (0.515, 0.485, 0.268)
Pr (0.778, 0.222, 0.569)
Pr (0.796, 0.204, 0.962)
Pr (0.880, 0.120, 0.273)
Pr (0.987, 0.013, 0.000)
Ho (0.387, 0.613, 0.056)
Ho (0.387, 0.613, 0.495)
Ho (0.613, 0.387, 0.556)
Ho (0.613, 0.387, 0.995)
Er (0.095, 0.905, 0.223)
Er (0.905, 0.095, 0.723)
Tm (0.302, 0.698, 0.765)
Tm (0.698, 0.302, 0.265)

no.,ΔE_f (meV per atom)
1,155.7
2,-768.3
3,400.5
4,-144.2
5,-277.8
6,-427.9
7,139.6